1.
Material: Be2Cu
Method: DFT, PBE
State: optimized geometry

Values from the calculation:
- formation energy (meV/atom) = -70.8
- N(E_F) (states/eV/f.u.) = 0.64
- energy above the most stable polymorph in this dataset (eV per atom) = 0.076
- DFT total energy (eV/cell) = -47.043
- total magnetic moment (μB per cell) = 0.00

```
data_Be2Cu
_cell_length_a 3.632
_cell_length_b 10.916
_cell_length_c 2.792
_cell_angle_alpha 90.00
_cell_angle_beta 90.00
_cell_angle_gamma 90.00
_space_group_name_H-M_alt 'C m m m'
_space_group_IT_number 65
_space_group_name_Hall '-C 2 2'
loop_
_atom_site_label
_atom_site_fract_x
_atom_site_fract_y
_atom_site_fract_z
Be1 0.000 0.000 0.000
Be2 0.000 0.164 0.500
Be3 0.000 0.500 0.500
Cu1 0.000 0.337 0.000
```

=====

2.
Material: Be6Cu
Method: DFT, PBE
State: optimized geometry

Values from the calculation:
- formation energy (meV/atom) = 1560.6
- N(E_F) (states/eV/f.u.) = 5.55
- energy above the most stable polymorph in this dataset (eV per atom) = 1.492
- DFT total energy (eV/cell) = -15.529
- total magnetic moment (μB per cell) = 0.07

```
data_Be6Cu
_cell_length_a 4.929
_cell_length_b 4.929
_cell_length_c 4.929
_cell_angle_alpha 90.00
_cell_angle_beta 90.00
_cell_angle_gamma 90.00
_space_group_name_H-M_alt 'P m -3 m'
_space_group_IT_number 221
_space_group_name_Hall '-P 4 2 3'
loop_
_atom_site_label
_atom_site_fract_x
_atom_site_fract_y
_atom_site_fract_z
Be1 0.000 0.000 0.302
Cu1 0.500 0.500 0.500
```

=====

3.
Material: Be2Cu
Method: DFT, PBE
State: optimized geometry

Values from the calculation:
- formation energy (meV/atom) = -135.8
- N(E_F) (states/eV/f.u.) = 0.57
- energy above the most stable polymorph in this dataset (eV per atom) = 0.011
- DFT total energy (eV/cell) = -95.649
- total magnetic moment (μB per cell) = 0.00

```
data_Be2Cu
_cell_length_a 4.2500
_cell_length_b 4.2500
_cell_length_c 13.8031
_cell_angle_alpha 90.00
_cell_angle_beta 90.00
_cell_angle_gamma 120.00
_space_group_name_H-M_alt 'P 63/m m c'
_space_group_IT_number 194
_space_group_name_Hall '-P 6c 2c'
loop_
_atom_site_label
_atom_site_fract_x
_atom_site_fract_y
_atom_site_fract_z
Be1 0.0000 0.5000 0.0000
Be2 0.1669 0.3338 0.2500
Be3 0.3333 0.6667 0.1237
Cu1 0.0000 0.0000 0.0954
Cu2 0.3333 0.6667 0.6567
```

=====

4.
Material: Be2Cu
Method: DFT, PBE
State: optimized geometry

Values from the calculation:
- formation energy (meV/atom) = 52.3
- N(E_F) (states/eV/f.u.) = 1.05
- energy above the most stable polymorph in this dataset (eV per atom) = 0.199
- DFT total energy (eV/cell) = -34.175
- total magnetic moment (μB per cell) = 0.00

```
data_Be2Cu
_cell_length_a 2.4253
_cell_length_b 2.4253
_cell_length_c 16.8890
_cell_angle_alpha 90.00
_cell_angle_beta 90.00
_cell_angle_gamma 120.00
_space_group_name_H-M_alt 'R 3 m'
_space_group_IT_number 160
_space_group_name_Hall 'R 3 -2"'
loop_
_atom_site_label
_atom_site_fract_x
_atom_site_fract_y
_atom_site_fract_z
Be1 0.0000 0.0000 0.0000
Be2 0.0000 0.0000 0.2283
Cu1 0.0000 0.0000 0.4469
```

=====

5.
Material: Be2Cu
Method: DFT, PBE
State: optimized geometry

Values from the calculation:
- formation energy (meV/atom) = 513.8
- N(E_F) (states/eV/f.u.) = 1.73
- energy above the most stable polymorph in this dataset (eV per atom) = 0.661
- DFT total energy (eV/cell) = -20.014
- total magnetic moment (μB per cell) = 0.00

```
data_Be2Cu
_cell_length_a 5.719
_cell_length_b 5.719
_cell_length_c 2.307
_cell_angle_alpha 90.00
_cell_angle_beta 90.00
_cell_angle_gamma 90.00
_space_group_name_H-M_alt 'P 42/m n m'
_space_group_IT_number 136
_space_group_name_Hall '-P 4n 2n'
loop_
_atom_site_label
_atom_site_fract_x
_atom_site_fract_y
_atom_site_fract_z
Be1 0.234 0.234 0.000
Cu1 0.000 0.000 0.500
```

=====

6.
Material: BeCu
Method: DFT, PBE
State: optimized geometry

Values from the calculation:
- formation energy (meV/atom) = 75.5
- N(E_F) (states/eV/f.u.) = 0.47
- DFT total energy (eV/cell) = -30.686
- total magnetic moment (μB per cell) = 0.00

```
data_BeCu
_cell_length_a 5.332
_cell_length_b 2.487
_cell_length_c 6.247
_cell_angle_alpha 90.00
_cell_angle_beta 90.00
_cell_angle_gamma 90.00
_space_group_name_H-M_alt 'P n m a'
_space_group_IT_number 62
_space_group_name_Hall '-P 2ac 2n'
loop_
_atom_site_label
_atom_site_fract_x
_atom_site_fract_y
_atom_site_fract_z
Be1 0.166 0.250 0.035
Cu1 0.012 0.250 0.687
```

=====

7.
Material: Be2Cu
Method: DFT, PBE
State: optimized geometry

Values from the calculation:
- formation energy (meV/atom) = 115.7
- N(E_F) (states/eV/f.u.) = 0.65
- energy above the most stable polymorph in this dataset (eV per atom) = 0.262
- DFT total energy (eV/cell) = -44.806
- total magnetic moment (μB per cell) = 0.00

```
data_Be2Cu
_cell_length_a 2.388
_cell_length_b 3.520
_cell_length_c 14.631
_cell_angle_alpha 90.00
_cell_angle_beta 90.00
_cell_angle_gamma 90.00
_space_group_name_H-M_alt 'I m m a'
_space_group_IT_number 74
_space_group_name_Hall '-I 2b 2'
loop_
_atom_site_label
_atom_site_fract_x
_atom_site_fract_y
_atom_site_fract_z
Be1 0.000 0.250 0.041
Be2 0.000 0.250 0.187
Cu1 0.000 0.250 0.603
```

=====

8.
Material: Be2Cu3
Method: DFT, PBE
State: optimized geometry

Values from the calculation:
- formation energy (meV/atom) = 29.6
- N(E_F) (states/eV/f.u.) = 1.70
- energy above the most stable polymorph in this dataset (eV per atom) = 0.117
- DFT total energy (eV/cell) = -176.335
- total magnetic moment (μB per cell) = 0.00

```
data_Be2Cu3
_cell_length_a 6.6399
_cell_length_b 6.6399
_cell_length_c 12.2983
_cell_angle_alpha 90.00
_cell_angle_beta 90.00
_cell_angle_gamma 120.00
_space_group_name_H-M_alt 'R -3'
_space_group_IT_number 148
_space_group_name_Hall '-R 3'
loop_
_atom_site_label
_atom_site_fract_x
_atom_site_fract_y
_atom_site_fract_z
Be1 0.0371 0.6160 0.0694
Cu1 0.0000 0.0000 0.2766
Cu2 0.0000 0.0000 0.5000
Cu3 0.0105 0.7730 0.9088
```

=====

9.
Material: Be23Cu6
Method: DFT, PBE
State: optimized geometry

Values from the calculation:
- formation energy (meV/atom) = -21.9
- N(E_F) (states/eV/f.u.) = 10.57
- DFT total energy (eV/cell) = -443.662
- total magnetic moment (μB per cell) = 0.00

```
data_Be23Cu6
_cell_length_a 10.098
_cell_length_b 10.098
_cell_length_c 10.098
_cell_angle_alpha 90.00
_cell_angle_beta 90.00
_cell_angle_gamma 90.00
_space_group_name_H-M_alt 'F m -3 m'
_space_group_IT_number 225
_space_group_name_Hall '-F 4 2 3'
loop_
_atom_site_label
_atom_site_fract_x
_atom_site_fract_y
_atom_site_fract_z
Be1 0.000 0.000 0.000
Be2 0.000 0.250 0.250
Be3 0.124 0.124 0.124
Be4 0.171 0.171 0.329
Cu1 0.000 0.000 0.284
```

=====

10.
Material: Be2Cu
Method: DFT, PBE
State: optimized geometry

Values from the calculation:
- formation energy (meV/atom) = 42.2
- N(E_F) (states/eV/f.u.) = 0.57
- energy above the most stable polymorph in this dataset (eV per atom) = 0.189
- DFT total energy (eV/cell) = -45.688
- total magnetic moment (μB per cell) = 0.00

```
data_Be2Cu
_cell_length_a 2.530
_cell_length_b 12.012
_cell_length_c 3.765
_cell_angle_alpha 90.00
_cell_angle_beta 90.00
_cell_angle_gamma 90.00
_space_group_name_H-M_alt 'C m c m'
_space_group_IT_number 63
_space_group_name_Hall '-C 2c 2'
loop_
_atom_site_label
_atom_site_fract_x
_atom_site_fract_y
_atom_site_fract_z
Be1 0.000 0.057 0.250
Be2 0.000 0.399 0.250
Cu1 0.000 0.285 0.750
```

=====

11.
Material: Be6Cu5
Method: DFT, PBE
State: optimized geometry

Values from the calculation:
- formation energy (meV/atom) = -9.1
- N(E_F) (states/eV/f.u.) = 3.11
- DFT total energy (eV/cell) = -85.877
- total magnetic moment (μB per cell) = 0.00

```
data_Be6Cu5
_cell_length_a 3.736
_cell_length_b 5.409
_cell_length_c 10.976
_cell_angle_alpha 90.00
_cell_angle_beta 90.00
_cell_angle_gamma 90.00
_space_group_name_H-M_alt 'I m m m'
_space_group_IT_number 71
_space_group_name_Hall '-I 2 2'
loop_
_atom_site_label
_atom_site_fract_x
_atom_site_fract_y
_atom_site_fract_z
Be1 0.000 0.218 0.000
Be2 0.000 0.282 0.353
Cu1 0.000 0.000 0.182
Cu2 0.000 0.000 0.500
Cu3 0.000 0.500 0.164
```

=====

12.
Material: BeCu
Method: DFT, PBE
State: optimized geometry

Values from the calculation:
- formation energy (meV/atom) = 472.0
- N(E_F) (states/eV/f.u.) = 0.73
- DFT total energy (eV/cell) = -27.514
- total magnetic moment (μB per cell) = 0.00

```
data_BeCu
_cell_length_a 4.482
_cell_length_b 4.482
_cell_length_c 4.482
_cell_angle_alpha 90.00
_cell_angle_beta 90.00
_cell_angle_gamma 90.00
_space_group_name_H-M_alt 'F m -3 m'
_space_group_IT_number 225
_space_group_name_Hall '-F 4 2 3'
loop_
_atom_site_label
_atom_site_fract_x
_atom_site_fract_y
_atom_site_fract_z
Be1 0.000 0.000 0.000
Cu1 0.000 0.000 0.500
```